# 1
{"formula": "Sm2MgCd2", "functional": "GGA-PBE", "state": "relaxed", "volume_a3_per_fu": 132.5, "e_form_ev_per_atom": -0.218, "m_tot_mub_per_fu": 0.00, "energy_ev_per_atom": -2.791, "relative_energy_ev_per_atom": 0.0000, "lattice": [[-4.6122, -2.3383, -0.9909], [-3.8008, -0.5575, 5.0185], [-6.7326, 6.9783, 0.8820]], "species": ["Sm", "Sm", "Cd", "Sm", "Mg", "Mg", "Cd", "Cd", "Sm", "Cd"], "frac_coords": [[0.4183, 0.8027, 0.8599], [0.5817, 0.1973, 0.1401], [0.1356, 0.2738, 0.9560], [0.0808, 0.6973, 0.6401], [0.2501, 0.7500, 0.2500], [0.7499, 0.2500, 0.7500], [0.3654, 0.2262, 0.5440], [0.8644, 0.7262, 0.0440], [0.9192, 0.3027, 0.3599], [0.6346, 0.7738, 0.4560]]}



# 2
{"formula": "Cr2InSnSe", "functional": "GGA-PBE", "state": "relaxed", "volume_a3_per_fu": 152.2, "m_tot_mub_per_fu": 9.03, "e_form_raw_mev_per_atom": 891, "energy_ev_per_atom": -5.004, "relative_energy_ev_per_atom": 0.0000, "lattice": [[-3.5033, -3.7764, -0.8164], [2.5465, -3.1903, 3.8295], [-3.0491, 2.0255, 3.7150]], "species": ["In", "Sn", "Se", "Cr", "Cr"], "frac_coords": [[0.5000, 0.5000, 0.5000], [0.0000, 0.0000, 0.0000], [0.0000, 0.5000, 0.0000], [0.0000, 0.0000, 0.5000], [0.5000, 0.0000, 0.0000]]}



# 3
{"formula": "PmAg3Sn", "functional": "GGA-PBE", "state": "relaxed", "volume_a3_per_fu": 112.0, "e_form_ev_per_atom": -0.246, "m_tot_mub_per_fu": 0.00, "energy_ev_per_atom": -3.707, "lattice": [[-2.9802, 3.7104, 1.2607], [-4.2083, -4.3851, 2.9589], [3.3378, 0.7106, 5.7989]], "species": ["Ag", "Pm", "Ag", "Sn", "Ag", "Pm", "Sn", "Ag", "Ag", "Ag"], "frac_coords": [[0.9756, 0.1319, 0.7008], [0.4756, 0.4158, 0.7008], [0.4756, 0.9253, 0.9029], [0.4757, 0.6179, 0.2008], [0.9756, 0.4274, 0.4029], [0.9756, 0.9369, 0.2008], [0.9756, 0.7349, 0.7009], [0.4756, 0.2209, 0.2007], [0.9756, 0.4274, 0.9986], [0.4756, 0.9255, 0.4986]]}